Compound: SiSb2PC
Source: Alexandria
Functional: PBE
Structure: optimized geometry

```
SiSb2PC
1.0
5.4236 0.0000 0.0000
0.0000 5.4236 0.0000
0.0000 0.0000 3.4437
Si Sb P C
1 2 1 1
Cartesian
0.0000 0.0000 0.0000 Si
0.0000 2.7118 0.0000 Sb
2.7118 0.0000 0.0000 Sb
2.7118 2.7118 1.7219 P
0.0000 0.0000 1.7219 C
```

Output
Density of states at the Fermi level   3.13 states/eV/cell
Magnetization   0.0 μB per formula unit
Crystal system   tetragonal
Formation energy without anion corrections   1021.5 meV/atom